Compound: NaB2PPt
Source: Alexandria
Functional: GGA-PBE
Structure: optimized geometry

Geometry as CIF:
```
data_NaB2PPt
_cell_length_a 4.057
_cell_length_b 4.057
_cell_length_c 5.420
_cell_angle_alpha 90.00
_cell_angle_beta 90.00
_cell_angle_gamma 90.00
_symmetry_space_group_name_H-M 'P 4/m m m'
_symmetry_Int_Tables_number 123
_symmetry_space_group_name_Hall '-P 4 2'
loop_
_atom_site_label
_atom_site_type_symbol
_atom_site_fract_x
_atom_site_fract_y
_atom_site_fract_z
Na1 Na 0.000 0.000 0.000
B1 B 0.000 0.500 0.500
P1 P 0.500 0.500 0.000
Pt1 Pt 0.500 0.500 0.500
```

final energy: -4.6036 eV per atom
formation energy from the elements: 0.621 eV/atom